Entry 1:
Below is a relaxed structure of LaFe4Cu3O12, with properties calculated at the PBEsol level.

Lattice parameters (Å, degrees): 6.232 6.232 6.232 109.47 109.47 109.47
Positions (direct):
1 La 0.000 0.000 0.000
2 Fe 0.000 0.000 0.500
3 Fe 0.000 0.500 0.000
4 Fe 0.500 0.000 0.000
5 Fe 0.500 0.500 0.500
6 Cu 0.000 0.500 0.500
7 Cu 0.500 0.000 0.500
8 Cu 0.500 0.500 0.000
9 O 0.125 0.306 0.819
10 O 0.181 0.487 0.306
11 O 0.181 0.875 0.694
12 O 0.306 0.181 0.487
13 O 0.306 0.819 0.125
14 O 0.487 0.306 0.181
15 O 0.513 0.694 0.819
16 O 0.694 0.181 0.875
17 O 0.694 0.819 0.513
18 O 0.819 0.125 0.306
19 O 0.819 0.513 0.694
20 O 0.875 0.694 0.181

Output
The raw formation energy is -1.38 eV per atom. The space group is Im-3, No. 204. The volume is 186.34 Å³/cell. As for the total energy: -144.76 eV for the cell shown.



Entry 2:
Below is a relaxed structure of Sr2La3Fe4CuO15, with properties calculated at the PBEsol level.

Lattice parameters (Å, degrees): 11.396 11.396 11.396 27.36 27.36 27.36
Positions (direct):
1 Sr 0.099 0.099 0.099
2 Sr 0.901 0.901 0.901
3 La 0.301 0.301 0.301
4 La 0.500 0.500 0.500
5 La 0.699 0.699 0.699
6 Fe 0.199 0.199 0.199
7 Fe 0.401 0.401 0.401
8 Fe 0.599 0.599 0.599
9 Fe 0.801 0.801 0.801
10 Cu 0.000 0.000 0.000
11 O 0.000 0.000 0.500
12 O 0.000 0.500 0.000
13 O 0.101 0.600 0.600
14 O 0.208 0.208 0.684
15 O 0.208 0.684 0.208
16 O 0.316 0.792 0.792
17 O 0.400 0.400 0.899
18 O 0.400 0.899 0.400
19 O 0.500 0.000 0.000
20 O 0.600 0.101 0.600
21 O 0.600 0.600 0.101
22 O 0.684 0.208 0.208
23 O 0.792 0.316 0.792
24 O 0.792 0.792 0.316
25 O 0.899 0.400 0.400

Output
The raw formation energy is -2.25 eV per atom. The space group is R-3m, No. 166. The volume is 275.94 Å³/cell. As for the total energy: -194.82 eV for the cell shown.



Entry 3:
Below is a relaxed structure of LiFeCu, with properties calculated at the PBEsol level.

Lattice parameters (Å, degrees): 4.091 4.091 2.367 90.00 90.00 120.00
Positions (direct):
1 Li 0.000 0.000 0.000
2 Fe 0.667 0.333 0.647
3 Cu 0.333 0.667 0.223

Output
As for the energy relative to the elements: 0.249 eV/atom. The space group is P3m1, No. 156. The volume is 34.32 Å³/cell. The distance to the lowest polymorph of the same formula is 0 kJ/mol of formula units. As for the total energy: -14.52 eV for the cell shown.